# BeTl2Ru | Alexandria via LeMat-Bulk | GGA-PBEsol | relaxed
# Magnetic moment   0.0 μB per formula unit
# D(E_F)   2.30 states/eV/f.u.
# ΔH_f (0 K)   439 meV/atom
data_BeTl2Ru
_cell_length_a 10.898
_cell_length_b 3.142
_cell_length_c 4.490
_cell_angle_alpha 90.00
_cell_angle_beta 110.06
_cell_angle_gamma 90.00
_space_group_name_H-M_alt 'C 1 m 1'
_space_group_IT_number 8
loop_
_space_group_symop_operation_xyz
'x,y,z'
'x,-y,z'
'x+1/2,y+1/2,z'
'x+1/2,-y+1/2,z'
loop_
_atom_site_label
_atom_site_type_symbol
_atom_site_fract_x
_atom_site_fract_y
_atom_site_fract_z
Be1 Be 0.000 0.000 0.000
Tl1 Tl 0.082 0.500 0.582
Tl2 Tl 0.303 0.500 0.279
Ru1 Ru 0.348 0.000 0.817